Compound: Pr3Fe5F12
Source: the Alexandria database
Functional: PBE+U
Structure: optimized geometry

Unit cell a=13.617 b=13.617 c=13.617 alpha=90.00 beta=90.00 gamma=90.00
Space group Ia-3d (No. 230)
One atom of each set of equivalent atoms:
Pr: 0.000 0.250 0.125
Fe: 0.000 0.000 0.000
Fe: 0.000 0.250 0.375
F: 0.014 0.074 0.653

VASP energy, eV per cell: -878.2
DOS at the Fermi energy, states/eV/f.u.: 3.065